DFT (PBE) results for a geometry-optimized LiAl2H4Pb2O4F6 structure. Values from VASP.

Cell and atoms, written as Quantum ESPRESSO input:
```
&SYSTEM
  ibrav = 0, nat = 19, ntyp = 6
/
ATOMIC_SPECIES
Li 6.94 Li.upf
Al 26.98 Al.upf
H 1.01 H.upf
Pb 207.20 Pb.upf
O 16.00 O.upf
F 19.00 F.upf
CELL_PARAMETERS angstrom
5.775 0.000 0.000
-1.428 5.955 0.000
-1.686 -2.433 6.699
ATOMIC_POSITIONS crystal
Li 0.000 0.000 0.000
Al 0.165 0.654 0.303
Al 0.458 0.996 0.718
H 0.022 0.850 0.671
H 0.151 0.069 0.442
H 0.515 0.596 0.538
H 0.575 0.629 0.227
Pb 0.191 0.509 0.835
Pb 0.666 0.129 0.301
O 0.165 0.900 0.793
O 0.277 0.987 0.462
O 0.372 0.650 0.551
O 0.441 0.699 0.193
F 0.002 0.724 0.091
F 0.076 0.335 0.158
F 0.510 0.308 0.844
F 0.634 0.935 0.932
F 0.749 0.074 0.658
F 0.887 0.601 0.385
```

Properties
Space group   No. 1
Calculated total energy   -5.3763 eV/atom

DFT (PBE) results for a geometry-optimized Co2AgSn structure. Values from VASP.

Cell and atoms, written as Quantum ESPRESSO input:
```
&SYSTEM
  ibrav = 0, nat = 8, ntyp = 3
/
ATOMIC_SPECIES
Co 58.93 Co.upf
Ag 107.87 Ag.upf
Sn 118.71 Sn.upf
CELL_PARAMETERS angstrom
-1.947 1.947 9.245
1.947 -1.947 9.245
1.947 1.947 -9.245
ATOMIC_POSITIONS crystal
Co 0.051 0.625 0.926
Co 0.375 0.301 0.426
Co 0.699 0.125 0.074
Co 0.875 0.949 0.574
Ag 0.000 0.000 0.000
Ag 0.750 0.250 0.500
Sn 0.250 0.750 0.500
Sn 0.500 0.500 0.000
```

Properties
Space group   No. 122
Calculated formation energy   0.607 eV per atom